# KMnBr5 | the Alexandria database | PBE-GGA | relaxed
# - uncorrected formation energy (eV/atom) = -0.8381
# - E_tot (eV per atom) = -3.4997
# - calculated volume (Å³/f.u.) = 246.12
data_KMnBr5
_chemical_formula_sum 'K4 Mn4 Br20'
_space_group_name_H-M_alt 'C 1 2/c 1'
_space_group_IT_number 15
_cell_length_a 14.071
_cell_length_b 7.387
_cell_length_c 10.172
_cell_angle_alpha 90.00
_cell_angle_beta 111.38
_cell_angle_gamma 90.00
loop_
_space_group_symop_operation_xyz
'x,y,z'
'-x,-y,-z'
'-x,y,-z+1/2'
'x,-y,z+1/2'
'x+1/2,y+1/2,z'
'-x+1/2,-y+1/2,-z'
'-x+1/2,y+1/2,-z+1/2'
'x+1/2,-y+1/2,z+1/2'
loop_
_atom_site_label
_atom_site_fract_x
_atom_site_fract_y
_atom_site_fract_z
K1 0.000 0.023 0.250
Mn1 0.000 0.500 0.000
Br1 0.000 0.423 0.750
Br2 0.131 0.270 0.541
Br3 0.131 0.271 0.092